# 1
A relaxed structure of Ac2La5Tb12, computed with PBE.

Summary:
formation energy: 114 meV per atom
symmetry: C2/m (12)
final energy: -0.3336 Ry/atom
size of the total moment: 0.0 μB per formula unit

Cell: 7.2966 15.0384 16.4832 Å, 153.86 90.00 104.04°
Atoms (fractional coordinates):
Tb 0.0167 0.5552 0.9482
Tb 0.0377 0.0753 0.8761
Tb 0.4486 0.4034 0.6175
Tb 0.9833 0.4448 0.0518
Tb 0.9623 0.9247 0.1239
Tb 0.4603 0.9206 0.1218
Tb 0.0452 0.5966 0.3826
Tb 0.9548 0.4034 0.6174
Tb 0.5514 0.5966 0.3825
Tb 0.5397 0.0794 0.8782
Tb 0.4614 0.4447 0.0518
Tb 0.5386 0.5553 0.9482
Ac 0.7510 0.0000 0.0000
Ac 0.2490 0.0000 0.0000
La 0.0000 0.0000 0.5000
La 0.7494 0.4988 0.4992
La 0.2506 0.5012 0.5008
La 0.4967 0.9936 0.3973
La 0.5033 0.0064 0.6027


# 2
A relaxed structure of Re2TeSe, computed with PBE.

Summary:
formation energy without anion corrections: 704 meV per atom
symmetry: R-3m (166)
energy above the lowest structure with this stoichiometry: 1.92 eV per formula unit
final energy: -0.5275 Ry/atom
size of the total moment: 0.0 μB per formula unit

Cell: 8.2825 8.2825 8.2825 Å, 21.77 21.77 21.77°
Atoms (fractional coordinates):
Te 0.7500 0.7500 0.7500
Re 0.5020 0.5020 0.5020
Re 0.9980 0.9980 0.9980
Se 0.2500 0.2500 0.2500


# 3
A relaxed structure of Li2CuPb, computed with PBE.

Summary:
formation energy: -45 meV per atom
symmetry: P4mm (99)
final energy: -0.2171 Ry/atom
size of the total moment: 0.0 μB per formula unit

Cell: 3.3940 3.3940 6.3742 Å, 90.00 90.00 90.00°
Atoms (fractional coordinates):
Li 0.0000 0.0000 0.9737
Li 0.5000 0.5000 0.2257
Cu 0.5000 0.5000 0.7838
Pb 0.0000 0.0000 0.5168


# 4
A relaxed structure of LiCeGa2, computed with PBE.

Summary:
formation energy: -398 meV per atom
symmetry: P4/mmm (123)
energy above the lowest structure with this stoichiometry: 0.09 eV per formula unit
final energy: -0.2847 Ry/atom
size of the total moment: 0.4 μB per formula unit

Cell: 3.2595 3.2595 7.1566 Å, 90.00 90.00 90.00°
Each line ends with the local moment (μB).
Atoms (fractional coordinates):
Ce 0.5000 0.5000 0.5000  0.32
Li 0.5000 0.5000 0.0000  0.00
Ga 0.0000 0.0000 0.8013  0.00
Ga 0.0000 0.0000 0.1987  0.00


# 5
A relaxed structure of K2RbLiSb, computed with PBE.

Summary:
formation energy without anion corrections: -209 meV per atom
symmetry: P4/mmm (123)
energy above the lowest structure with this stoichiometry: 0.08 eV per formula unit
final energy: -0.1506 Ry/atom
size of the total moment: 0.7 μB per formula unit

Cell: 6.4846 6.4846 5.1776 Å, 90.00 90.00 90.00°
Atoms (fractional coordinates):
K 0.0000 0.5000 0.0000
K 0.5000 0.0000 0.0000
Li 0.0000 0.0000 0.0000
Sb 0.0000 0.0000 0.5000
Rb 0.5000 0.5000 0.5000


# 6
A relaxed structure of NpCuH6Pt, computed with PBE.

Summary:
symmetry: P-6m2 (187)
final energy: -0.3572 Ry/atom
size of the total moment: 4.6 μB per formula unit

Cell: 4.5651 4.5651 4.3596 Å, 90.00 90.00 60.00°
Each line ends with the local moment (μB).
Atoms (fractional coordinates):
H 0.9970 0.5015 0.7759  0.00
H 0.5014 0.9970 0.7759  0.00
H 0.5015 0.9971 0.2240  0.00
H 0.5014 0.5015 0.2240  0.00
H 0.5015 0.5015 0.7759  0.00
H 0.9970 0.5015 0.2240  0.00
Pt 0.3333 0.3333 0.5000  0.08
Np 0.0000 0.0000 0.0000  4.10
Cu 0.6666 0.6667 0.5000  0.04


# 7
A relaxed structure of LiCeZnAu2, computed with PBE.

Summary:
formation energy: -526 meV per atom
symmetry: I-4m2 (119)
final energy: -0.2691 Ry/atom
size of the total moment: 1.0 μB per formula unit

Cell: 3.9892 3.9892 7.0581 Å, 106.41 106.41 90.00°
Each line ends with the local moment (μB).
Atoms (fractional coordinates):
Au 0.6110 0.6110 0.2220  0.01
Au 0.3890 0.3890 0.7780  0.01
Zn 0.2500 0.7500 0.5000  0.00
Li 0.7500 0.2500 0.5000  0.01
Ce 0.0000 0.0000 0.0000  0.84


# 8
A relaxed structure of CdSiRu2, computed with PBE.

Summary:
formation energy without anion corrections: 417 meV per atom
symmetry: F-43m (216)
final energy: -0.4267 Ry/atom
size of the total moment: 0.0 μB per formula unit

Cell: 4.4129 4.4129 4.4129 Å, 60.00 60.00 60.00°
Atoms (fractional coordinates):
Cd 0.5000 0.5000 0.5000
Ru 0.0000 0.0000 0.0000
Ru 0.7500 0.7500 0.7500
Si 0.2500 0.2500 0.2500